First-principles (PBE with a Hubbard U) data for a geometry-optimized Ba2AlCr3O8 structure, as listed in Alexandria.

Calculated values
As for the total energy: -98.49 eV for the cell shown. The symmetry is P4/mmm (123).

```
Ba2AlCr3O8
1.0
3.8942 0.0000 0.0000
0.0000 3.8942 0.0000
0.0000 0.0000 11.6013
O Ba Cr Al
8 2 3 1
Direct
0.5000 0.0000 0.3921
0.0000 0.5000 0.0000
0.0000 0.5000 0.6079
0.0000 0.0000 0.8138
0.0000 0.0000 0.1862
0.5000 0.0000 0.6079
0.0000 0.5000 0.3921
0.5000 0.0000 0.0000
0.5000 0.5000 0.8331
0.5000 0.5000 0.1669
0.0000 0.0000 0.6486
0.0000 0.0000 0.0000
0.0000 0.0000 0.3514
0.5000 0.5000 0.5000
```